[1]
{
  "formula": "Cs3CeI6",
  "functional": "GGA-PBE",
  "state": "optimized geometry",
  "cell": [[-2.3098, 3.3542, -7.8094], [6.8406, -5.0922, -2.2020], [-7.3943, -5.4949, 3.7894]],
  "species": ["I", "I", "I", "I", "I", "I", "Cs", "Cs", "Cs", "Ce"],
  "fractional_positions": [[0.9270, 0.9270, 0.2648], [0.7708, 0.2292, 0.0000], [0.6622, 0.6622, 0.7352], [0.3378, 0.3378, 0.2648], [0.2292, 0.7708, 0.0000], [0.0730, 0.0730, 0.7352], [0.7500, 0.2500, 0.5000], [0.5000, 0.5000, 0.0000], [0.2500, 0.7500, 0.5000], [0.0000, 0.0000, 0.0000]],
  "total_magnetization_mub_per_fu": 1.000,
  "raw_formation_energy_ev_per_atom": -1.438,
  "spacegroup": "Fmmm (69)",
  "total_energy_ev_per_atom": -3.2180,
  "polymorph_energy_mev_per_atom": 49
}

[2]
{
  "formula": "Cs6CeI12",
  "functional": "GGA-PBE",
  "state": "optimized geometry",
  "cell": [[-2.4734, 6.2120, 8.3502], [-5.7007, -8.6064, 2.8041], [9.5600, -3.3636, 3.4242]],
  "species": ["I", "I", "I", "I", "I", "I", "I", "I", "I", "I", "I", "I", "Ce", "Cs", "Cs", "Cs", "Cs", "Cs", "Cs"],
  "fractional_positions": [[0.8526, 0.4232, 0.5271], [0.1474, 0.5768, 0.4729], [0.7146, 0.0147, 0.9371], [0.0147, 0.9371, 0.7146], [0.5768, 0.4729, 0.1474], [0.2854, 0.9853, 0.0629], [0.4729, 0.1474, 0.5768], [0.5271, 0.8526, 0.4232], [0.9371, 0.7146, 0.0147], [0.0629, 0.2854, 0.9853], [0.4232, 0.5271, 0.8526], [0.9853, 0.0629, 0.2854], [0.0000, 0.0000, 0.0000], [0.1577, 0.2726, 0.6294], [0.3706, 0.8423, 0.7274], [0.8423, 0.7274, 0.3706], [0.7274, 0.3706, 0.8423], [0.2726, 0.6294, 0.1577], [0.6294, 0.1577, 0.2726]],
  "total_magnetization_mub_per_fu": 2.491,
  "raw_formation_energy_ev_per_atom": -1.225,
  "spacegroup": "R-3 (148)",
  "total_energy_ev_per_atom": -2.7854
}

[3]
{
  "formula": "CsCeI4",
  "functional": "GGA-PBE",
  "state": "optimized geometry",
  "cell": [[7.6287, 0.0360, -0.9620], [-1.8335, 8.2483, -4.2532], [-0.0653, -0.0190, 9.4594]],
  "species": ["I", "I", "I", "I", "I", "I", "I", "I", "Cs", "Cs", "Ce", "Ce"],
  "fractional_positions": [[0.0343, 0.9459, 0.2543], [0.5343, 0.2543, 0.9459], [0.4657, 0.7457, 0.0541], [0.0855, 0.3239, 0.1993], [0.4145, 0.8007, 0.6761], [0.9657, 0.0541, 0.7457], [0.5855, 0.1993, 0.3239], [0.9145, 0.6761, 0.8007], [0.7500, 0.6369, 0.3631], [0.2500, 0.3631, 0.6369], [0.2500, 0.0008, 0.9992], [0.7500, 0.9992, 0.0008]],
  "total_magnetization_mub_per_fu": 1.000,
  "raw_formation_energy_ev_per_atom": -1.400,
  "spacegroup": "C2/c (15)",
  "total_energy_ev_per_atom": -3.5644
}